1.
# Na2MgCuH6 (GGA-PBE, relaxed)
data_Na2MgCuH6
_chemical_formula_sum 'Na4 Mg2 Cu2 H12'
_space_group_name_H-M_alt 'I 4/m m m'
_space_group_IT_number 139
_space_group_name_Hall '-I 4 2'
_cell_length_a 5.170
_cell_length_b 5.170
_cell_length_c 7.564
_cell_angle_alpha 90.00
_cell_angle_beta 90.00
_cell_angle_gamma 90.00
loop_
_atom_site_label
_atom_site_type_symbol
_atom_site_fract_x
_atom_site_fract_y
_atom_site_fract_z
Na1 Na 0.000 0.500 0.250
Mg1 Mg 0.000 0.000 0.000
Cu1 Cu 0.000 0.000 0.500
H1 H 0.000 0.000 0.258
H2 H 0.233 0.233 0.500
# total energy: -28.9 eV/f.u.

---

2.
# Na3Mg2CuH9 (GGA-PBE, relaxed)
data_Na3Mg2CuH9
_chemical_formula_sum 'Na3 Mg2 Cu1 H9'
_space_group_name_H-M_alt 'P -3 m 1'
_space_group_IT_number 164
_space_group_name_Hall '-P 3 2"'
_cell_length_a 5.2857
_cell_length_b 5.2857
_cell_length_c 6.5319
_cell_angle_alpha 90.00
_cell_angle_beta 90.00
_cell_angle_gamma 120.00
loop_
_atom_site_label
_atom_site_type_symbol
_atom_site_fract_x
_atom_site_fract_y
_atom_site_fract_z
Na1 Na 0.0000 0.0000 0.0000
Na2 Na 0.3333 0.6667 0.6546
Mg1 Mg 0.3333 0.6667 0.1708
Cu1 Cu 0.0000 0.0000 0.5000
H1 H 0.0000 0.5000 0.0000
H2 H 0.1578 0.3156 0.3476
# total energy: -42.7 eV/f.u.

---

3.
# Na2MgCuH5 (GGA-PBE, relaxed)
data_Na2MgCuH5
_chemical_formula_sum 'Na8 Mg4 Cu4 H20'
_space_group_name_H-M_alt 'C m c 21'
_space_group_IT_number 36
_space_group_name_Hall 'C 2c -2'
_cell_length_a 3.041
_cell_length_b 13.527
_cell_length_c 10.174
_cell_angle_alpha 90.00
_cell_angle_beta 90.00
_cell_angle_gamma 90.00
loop_
_atom_site_label
_atom_site_type_symbol
_atom_site_fract_x
_atom_site_fract_y
_atom_site_fract_z
Na1 Na 0.000 0.095 0.000
Na2 Na 0.000 0.128 0.680
Mg1 Mg 0.000 0.196 0.376
Cu1 Cu 0.000 0.439 0.750
H1 H 0.000 0.042 0.337
H2 H 0.000 0.300 0.006
H3 H 0.000 0.317 0.738
H4 H 0.000 0.334 0.351
H5 H 0.000 0.498 0.117
# total energy: -26.5 eV/f.u.

---

4.
# MgCuNi2H (GGA-PBE, relaxed)
data_MgCuNi2H
_chemical_formula_sum 'Mg1 Cu1 Ni2 H1'
_space_group_name_H-M_alt 'P 4/m m m'
_space_group_IT_number 123
_space_group_name_Hall '-P 4 2'
_cell_length_a 3.725
_cell_length_b 3.725
_cell_length_c 3.727
_cell_angle_alpha 90.00
_cell_angle_beta 90.00
_cell_angle_gamma 90.00
loop_
_atom_site_label
_atom_site_type_symbol
_atom_site_fract_x
_atom_site_fract_y
_atom_site_fract_z
Mg1 Mg 0.000 0.000 0.000
Cu1 Cu 0.500 0.500 0.000
Ni1 Ni 0.000 0.500 0.500
H1 H 0.500 0.500 0.500
# energy above the most stable polymorph in this dataset: 0.00 eV per formula unit
# total energy: -21.3 eV/f.u.

---

5.
# MgCuNi4H8 (GGA-PBE, relaxed)
data_MgCuNi4H8
_chemical_formula_sum 'Mg3 Cu3 Ni12 H24'
_space_group_name_H-M_alt 'R 3 m'
_space_group_IT_number 160
_space_group_name_Hall 'R 3 -2"'
_cell_length_a 5.2222
_cell_length_b 5.2222
_cell_length_c 12.8295
_cell_angle_alpha 90.00
_cell_angle_beta 90.00
_cell_angle_gamma 120.00
loop_
_atom_site_label
_atom_site_type_symbol
_atom_site_fract_x
_atom_site_fract_y
_atom_site_fract_z
Mg1 Mg 0.0000 0.0000 0.0000
Cu1 Cu 0.0000 0.0000 0.6255
Ni1 Ni 0.0000 0.0000 0.2559
Ni2 Ni 0.0032 0.5016 0.1278
H1 H 0.0000 0.0000 0.3869
H2 H 0.0000 0.0000 0.8509
H3 H 0.0530 0.5265 0.3939
H4 H 0.1717 0.3433 0.2012
# total energy: -55.8 eV/f.u.

---

6.
# MgCuNi2H (GGA-PBE, relaxed)
data_MgCuNi2H
_chemical_formula_sum 'Mg1 Cu1 Ni2 H1'
_space_group_name_H-M_alt 'P 4/m m m'
_space_group_IT_number 123
_space_group_name_Hall '-P 4 2'
_cell_length_a 3.635
_cell_length_b 3.635
_cell_length_c 3.933
_cell_angle_alpha 90.00
_cell_angle_beta 90.00
_cell_angle_gamma 90.00
loop_
_atom_site_label
_atom_site_type_symbol
_atom_site_fract_x
_atom_site_fract_y
_atom_site_fract_z
Mg1 Mg 0.000 0.000 0.000
Cu1 Cu 0.500 0.500 0.000
Ni1 Ni 0.000 0.500 0.500
H1 H 0.000 0.000 0.500
# energy above the most stable polymorph in this dataset: 0.12 eV per formula unit
# total energy: -21.1 eV/f.u.

---

Number 1: total moment 0.000 μB/atom. Number 2: total moment 0.000 μB/atom. Number 3: total moment 0.000 μB/atom. Number 4: total moment 0.000 μB/atom. Number 5: total moment 0.000 μB/atom. Number 6: total moment 0.000 μB/atom.